The following is a DFT calculation (GGA-PBE) of an optimized crystal structure of Sr3Se.

```
4
Lattice="6.1433 0.0000 0.0000 0.0000 6.1433 0.0000 0.0000 0.0000 6.1433" Properties=species:S:1:pos:R:3 pbc="T T T"
Sr 0.0000 0.0000 3.0717
Sr 0.0000 3.0717 0.0000
Sr 3.0717 0.0000 0.0000
Se 0.0000 0.0000 0.0000
```

Properties
Formation energy from raw total energies (eV per atom): -0.58
SG: Pm-3m, No. 221
E above lowest polymorph (meV per atom): 330
Total moment (μB/f.u.): 0.001
Density of states at the Fermi level (states/eV/f.u.): 4.7